This record from the Alexandria database describes a relaxed CaMn8O13F3 crystal. The functional is PBE+U.

a = 5.8470 Å, b = 6.8306 Å, c = 7.1991 Å
α = 94.81°, β = 99.90°, γ = 92.86°
Space group P1 (No. 1)
Symmetry-distinct sites (fractional):
Ca 0.0000 0.0000 0.0000
Mn 0.0297 0.6961 0.5727
Mn 0.1461 0.1915 0.5845
Mn 0.2224 0.6422 0.0807
Mn 0.4002 0.4132 0.3661
Mn 0.4600 0.9440 0.8547
Mn 0.6194 0.9498 0.3844
Mn 0.7044 0.4149 0.7999
Mn 0.7999 0.3462 0.2040
O 0.1056 0.2202 0.3179
O 0.1813 0.6117 0.3404
O 0.1917 0.7539 0.8341
O 0.3778 0.9817 0.5784
O 0.3865 0.8989 0.1459
O 0.4034 0.3946 0.6278
O 0.4944 0.4616 0.1312
O 0.6323 0.2220 0.3737
O 0.6816 0.1635 0.9153
O 0.8250 0.9102 0.2289
O 0.9129 0.9806 0.5841
O 0.9497 0.4614 0.0171
O 0.9520 0.4225 0.6178
F 0.2175 0.1844 0.8548
F 0.6586 0.6737 0.4530
F 0.6988 0.7254 0.8378

ΔE to the lowest computed polymorph in meV/atom: 72.5
Final energy in eV/atom: -6.875